1.
ErSc4Se5: relaxed, PBE-GGA.

Summary:
E above lowest polymorph (meV/atom): 4
Formation energy (no corrections) (eV/f.u.): -16.06

abc: 3.9104 5.5235 19.5749
angles: 90.00 90.00 90.00
Space group Immm (No. 71)
Unique sites:
Er: 0.0000 0.0000 0.0000 x2
Sc: 0.0000 0.0000 0.2027 x4
Sc: 0.0000 0.0000 0.3997 x4
Se: 0.0000 0.5000 0.0000 x2
Se: 0.0000 0.5000 0.1991 x4
Se: 0.0000 0.5000 0.3954 x4


2.
Cs2SrB: relaxed, PBE-GGA.

Summary:
VASP energy (hartree per atom): -0.0455

abc: 9.8035 9.8035 12.9985
angles: 90.00 90.00 90.00
Space group I-42d (No. 122)
Unique sites:
Cs: 0.0532 0.2500 0.1250 x8
Sr: 0.0000 0.0000 0.5000 x4
B: 0.0000 0.0000 0.0000 x4


3.
Tb2HoSb2: relaxed, PBE-GGA.

Summary:
Formation energy (no corrections) (eV/f.u.): -4.02

abc: 8.4471 11.6101 6.2513
angles: 90.00 90.00 90.00
Space group Ibam (No. 72)
Unique sites:
Tb: 0.1445 0.1530 0.0000 x8
Ho: 0.0000 0.5000 0.2500 x4
Sb: 0.2140 0.1082 0.5000 x8


4.
YZnSbI2: relaxed, PBE-GGA.

Summary:
E above lowest polymorph (meV/atom): 239
Formation energy (no corrections) (eV/f.u.): -0.10

abc: 5.3769 5.3769 5.5436
angles: 90.00 90.00 90.00
Space group P4/mmm (No. 123)
Unique sites:
Y: 0.0000 0.0000 0.0000 x1
Zn: 0.5000 0.5000 0.5000 x1
Sb: 0.5000 0.5000 0.0000 x1
I: 0.0000 0.5000 0.5000 x2


5.
MgS: relaxed, PBE-GGA.

Summary:
Formation energy (no corrections) (eV/f.u.): -2.84

abc: 4.0417 4.0417 13.0664
angles: 90.00 90.00 120.00
Space group P6_3mc (No. 186)
Unique sites:
Mg: 0.0000 0.0000 0.0000 x2
Mg: 0.3333 0.6667 0.2492 x2
S: 0.0000 0.0000 0.3107 x2
S: 0.3333 0.6667 0.0604 x2


6.
Ca3SbP: relaxed, PBE-GGA.

Summary:
E above lowest polymorph (meV/atom): 97
Formation energy (no corrections) (eV/f.u.): -4.98

abc: 8.2089 7.4394 10.4592
angles: 90.00 108.22 90.00
Space group P2_1/c (No. 14)
Unique sites:
Ca: 0.0110 0.0859 0.2174 x4
Ca: 0.2715 0.5175 0.0718 x4
Ca: 0.3188 0.5078 0.5740 x4
Sb: 0.3720 0.7326 0.8456 x4
P: 0.0385 0.2365 0.9703 x4


7.
MgTa3Ni: relaxed, PBE-GGA.

Summary:
E above lowest polymorph (meV/atom): 0

abc: 4.6528 4.6528 4.6528
angles: 90.00 90.00 90.00
Space group Pm-3m (No. 221)
Unique sites:
Mg: 0.0000 0.0000 0.0000 x1
Ta: 0.0000 0.5000 0.5000 x3
Ni: 0.5000 0.5000 0.5000 x1


8.
Ho3PbAu: relaxed, PBE-GGA.

Summary:
VASP energy (hartree per atom): -0.1715

abc: 23.2293 4.6561 4.9564
angles: 90.00 90.29 90.00
Space group C2/m (No. 12)
Unique sites:
Ho: 0.0513 0.0000 0.2491 x4
Ho: 0.1638 0.0000 0.7503 x4
Ho: 0.1720 0.5000 0.2523 x4
Pb: 0.0646 0.5000 0.7492 x4
Au: 0.2443 0.5000 0.7552 x4


9.
Rb2HgGe2I6: relaxed, PBE-GGA.

Summary:
Formation energy (no corrections) (eV/f.u.): -7.60

abc: 7.4662 7.6527 11.4064
angles: 73.80 89.93 75.69
Space group P-1 (No. 2)
Unique sites:
Rb: 0.1306 0.2304 0.3678 x2
Hg: 0.5000 0.0000 0.0000 x1
Ge: 0.1663 0.0527 0.8275 x2
I: 0.0345 0.7544 0.9479 x2
I: 0.1364 0.7324 0.3427 x2
I: 0.3547 0.8690 0.6645 x2


10.
Be2CuBr6: relaxed, PBE-GGA.

Summary:
Formation energy (no corrections) (eV/f.u.): -6.35

abc: 13.4339 13.9189 6.2773
angles: 90.00 117.84 90.00
Space group C2/c (No. 15)
Unique sites:
Be: 0.2503 0.0758 0.1323 x8
Cu: 0.0000 0.2497 0.7500 x4
Br: 0.1017 0.1520 0.1054 x8
Br: 0.1020 0.3470 0.5979 x8
Br: 0.2493 0.4306 0.2195 x8


11.
HoZr2Ga6: relaxed, PBE-GGA.

Summary:
E above lowest polymorph (meV/atom): 0

abc: 7.2104 7.2104 3.7549
angles: 90.00 90.00 120.00
Space group P6/mmm (No. 191)
Unique sites:
Ho: 0.0000 0.0000 0.0000 x1
Zr: 0.3333 0.6667 0.0000 x2
Ga: 0.0000 0.3356 0.5000 x6


12.
Na2CaPm: relaxed, PBE-GGA.

Summary:
VASP energy (hartree per atom): -0.0772

abc: 3.5929 3.5929 40.6508
angles: 90.00 90.00 120.00
Space group R-3m (No. 166, hexagonal axes)
Unique sites:
Na: 0.0000 0.0000 0.0857 x6
Ca: 0.0000 0.0000 0.5000 x3
Pm: 0.0000 0.0000 0.0000 x3


13.
LaTbTe3: relaxed, PBE-GGA.

Summary:
E above lowest polymorph (meV/atom): 53
Formation energy (no corrections) (eV/f.u.): -7.27

abc: 4.4606 7.6552 9.8704
angles: 90.00 90.00 90.00
Space group Pmmn (No. 59, origin choice 2)
Unique sites:
La: 0.2500 0.2500 0.1536 x2
Tb: 0.2500 0.7500 0.3987 x2
Te: 0.2500 0.5204 0.6650 x4
Te: 0.2500 0.7500 0.0735 x2


14.
LiTe2H2: relaxed, PBE-GGA.

Summary:
E above lowest polymorph (meV/atom): 258

abc: 7.7528 7.7528 3.5535
angles: 90.00 90.00 90.00
Space group P4/mbm (No. 127)
Unique sites:
Li: 0.0000 0.0000 0.0000 x2
Te: 0.2061 0.2939 0.5000 x4
H: 0.1365 0.3635 0.0000 x4


15.
Dy2HgP: relaxed, PBE-GGA.

Summary:
E above lowest polymorph (meV/atom): 42

abc: 3.9034 3.9034 23.1807
angles: 90.00 90.00 120.00
Space group R3m (No. 160, hexagonal axes)
Unique sites:
Dy: 0.0000 0.0000 0.0000 x3
Dy: 0.0000 0.0000 0.1955 x3
Hg: 0.0000 0.0000 0.4304 x3
P: 0.0000 0.0000 0.5985 x3


16.
CuRhBr2: relaxed, PBE-GGA.

Summary:
E above lowest polymorph (meV/atom): 511
Formation energy (no corrections) (eV/f.u.): 2.00

abc: 6.7078 6.7078 6.7078
angles: 90.00 90.00 90.00
Space group Fm-3m (No. 225)
Unique sites:
Cu: 0.0000 0.0000 0.0000 x4
Rh: 0.0000 0.0000 0.5000 x4
Br: 0.2500 0.2500 0.2500 x8


17.
LiBe2Ni: relaxed, PBE-GGA.

Summary:
VASP energy (hartree per atom): -0.1430

abc: 5.4088 5.4191 2.5562
angles: 90.00 90.00 90.00
Space group Cmmm (No. 65)
Unique sites:
Li: 0.0000 0.0000 0.0000 x2
Be: 0.2500 0.2500 0.5000 x4
Ni: 0.0000 0.5000 0.0000 x2


18.
Sm2Al3Au2: relaxed, PBE-GGA.

Summary:
E above lowest polymorph (meV/atom): 0

abc: 10.7496 4.4076 6.8850
angles: 90.00 114.70 90.00
Space group C2/m (No. 12)
Unique sites:
Sm: 0.1489 0.0000 0.2810 x4
Al: 0.0000 0.5000 0.5000 x2
Al: 0.1026 0.5000 0.9304 x4
Au: 0.1491 0.0000 0.7463 x4


19.
Fe3CuPd: relaxed, PBE-GGA.

Summary:
E above lowest polymorph (meV/atom): 0

abc: 4.3360 4.3360 4.3360
angles: 90.00 90.00 90.00
Space group Pm-3m (No. 221)
Unique sites:
Fe: 0.0000 0.0000 0.5000 x3
Cu: 0.0000 0.0000 0.0000 x1
Pd: 0.5000 0.5000 0.5000 x1


20.
NiRu2Rh: relaxed, PBE-GGA.

Summary:
E above lowest polymorph (meV/atom): 195

abc: 2.7521 4.3158 9.1253
angles: 90.00 90.00 90.00
Space group Immm (No. 71)
Unique sites:
Ni: 0.0000 0.0000 0.0000 x2
Ru: 0.0000 0.5000 0.2779 x4
Rh: 0.0000 0.0000 0.5000 x2


21.
Zr2AlVRe: relaxed, PBE-GGA.

Summary:
VASP energy (hartree per atom): -0.2717

abc: 4.6995 4.6995 4.6693
angles: 90.00 90.00 90.00
Space group P4/mmm (No. 123)
Unique sites:
Zr: 0.0000 0.5000 0.0000 x2
Al: 0.0000 0.0000 0.5000 x1
V: 0.0000 0.0000 0.0000 x1
Re: 0.5000 0.5000 0.5000 x1


22.
Tm2ZnNi3: relaxed, PBE-GGA.

Summary:
E above lowest polymorph (meV/atom): 251

abc: 4.3365 5.0843 9.5154
angles: 90.00 90.00 90.00
Space group Immm (No. 71)
Unique sites:
Tm: 0.0000 0.0000 0.1892 x4
Zn: 0.0000 0.0000 0.5000 x2
Ni: 0.0000 0.5000 0.1218 x4
Ni: 0.0000 0.5000 0.5000 x2


23.
LaRe2W: relaxed, PBE-GGA.

Summary:
E above lowest polymorph (meV/atom): 269

abc: 2.8815 2.8815 30.2897
angles: 90.00 90.00 120.00
Space group R3m (No. 160, hexagonal axes)
Unique sites:
La: 0.0000 0.0000 0.0000 x3
Re: 0.0000 0.0000 0.2389 x3
Re: 0.0000 0.0000 0.5031 x3
W: 0.0000 0.0000 0.7612 x3


24.
UPt2Au: relaxed, PBE-GGA.

Summary:
VASP energy (hartree per atom): -0.2639

abc: 6.7233 6.7233 6.7233
angles: 90.00 90.00 90.00
Space group Fm-3m (No. 225)
Unique sites:
U: 0.0000 0.0000 0.0000 x4
Pt: 0.2500 0.2500 0.2500 x8
Au: 0.0000 0.0000 0.5000 x4


25.
MgZn3: relaxed, PBE-GGA.

Summary:
VASP energy (hartree per atom): -0.0496

abc: 6.3952 6.3952 6.3952
angles: 90.00 90.00 90.00
Space group Fm-3m (No. 225)
Unique sites:
Mg: 0.0000 0.0000 0.0000 x4
Zn: 0.0000 0.0000 0.5000 x4
Zn: 0.2500 0.2500 0.2500 x8


no.,magnetic moment (μB per cell)
1,0.00
2,0.00
3,0.00
4,0.00
5,0.00
6,0.00
7,0.00
8,0.00
9,0.00
10,4.18
11,0.00
12,0.00
13,0.00
14,0.00
15,0.00
16,8.00
17,0.00
18,0.00
19,9.38
20,0.00
21,1.83
22,0.00
23,0.00
24,5.48
25,0.00